Ba2CrCl: PBEsol geometry, SCAN. Values from VASP.

Quantum ESPRESSO input file:
```
&SYSTEM
  ibrav = 0, nat = 4, ntyp = 3
/
ATOMIC_SPECIES
Cr 52.00 Cr.upf
Cl 35.45 Cl.upf
Ba 137.33 Ba.upf
CELL_PARAMETERS angstrom
-2.242 -1.516 2.585
-3.346 -2.263 -4.229
3.233 -4.780 0.000
ATOMIC_POSITIONS crystal
Cr 0.500 0.000 0.500
Cl 0.500 0.500 0.000
Ba 0.000 0.500 0.500
Ba 0.000 0.000 0.000
```

Calculated values
The calculation puts the total magnetic moment at 1.391 μB per atom. The formation energy (no corrections) comes out at -2.33 eV/f.u. As for the density of states at the Fermi level: 0.9275 states/eV per atom. Its crystal system is orthorhombic.


Ba2Cr2Cl: PBEsol geometry, SCAN. Values from VASP.

Quantum ESPRESSO input file:
```
&SYSTEM
  ibrav = 0, nat = 5, ntyp = 3
/
ATOMIC_SPECIES
Ba 137.33 Ba.upf
Cl 35.45 Cl.upf
Cr 52.00 Cr.upf
CELL_PARAMETERS angstrom
-3.211 2.339 4.355
-0.143 -5.871 -0.509
5.854 0.455 0.517
ATOMIC_POSITIONS crystal
Ba 0.500 0.750 0.250
Ba 0.500 0.250 0.750
Cl 0.000 0.000 0.000
Cr 0.000 0.388 0.388
Cr 0.000 0.612 0.612
```

Calculated values
The calculation puts the total magnetic moment at 0.000 μB per atom. The formation energy (no corrections) comes out at 2.87 eV/f.u. As for the density of states at the Fermi level: 0.8080 states/eV per atom. Its crystal system is tetragonal.


BaMg2CrCl: PBEsol geometry, SCAN. Values from VASP.

Quantum ESPRESSO input file:
```
&SYSTEM
  ibrav = 0, nat = 5, ntyp = 4
/
ATOMIC_SPECIES
Mg 24.30 Mg.upf
Cl 35.45 Cl.upf
Ba 137.33 Ba.upf
Cr 52.00 Cr.upf
CELL_PARAMETERS angstrom
-3.860 -1.857 2.514
-1.960 -2.108 -4.566
2.774 -4.541 0.906
ATOMIC_POSITIONS crystal
Mg 0.000 0.500 0.000
Mg 0.000 0.000 0.500
Cl 0.500 0.000 0.000
Ba 0.500 0.500 0.500
Cr 0.000 0.000 0.000
```

Calculated values
The calculation puts the total magnetic moment at 0.794 μB per atom. The formation energy (no corrections) comes out at -0.56 eV/f.u. As for the density of states at the Fermi level: 0.4963 states/eV per atom. Its crystal system is tetragonal.


BaCrPCl2: PBEsol geometry, SCAN. Values from VASP.

Quantum ESPRESSO input file:
```
&SYSTEM
  ibrav = 0, nat = 5, ntyp = 4
/
ATOMIC_SPECIES
Cl 35.45 Cl.upf
Ba 137.33 Ba.upf
Cr 52.00 Cr.upf
P 30.97 P.upf
CELL_PARAMETERS angstrom
4.688 0.000 0.000
0.000 4.894 0.000
0.000 0.000 4.894
ATOMIC_POSITIONS crystal
Cl 0.000 0.000 0.500
Cl 0.000 0.500 0.000
Ba 0.500 0.500 0.500
Cr 0.000 0.000 0.000
P 0.500 0.000 0.000
```

Calculated values
The calculation puts the total magnetic moment at 0.600 μB per atom. The formation energy (no corrections) comes out at -6.79 eV/f.u. As for the density of states at the Fermi level: 0.3545 states/eV per atom. Its crystal system is tetragonal.


BaCr2SeCl: PBEsol geometry, SCAN. Values from VASP.

Quantum ESPRESSO input file:
```
&SYSTEM
  ibrav = 0, nat = 5, ntyp = 4
/
ATOMIC_SPECIES
Ba 137.33 Ba.upf
Cr 52.00 Cr.upf
Cl 35.45 Cl.upf
Se 78.96 Se.upf
CELL_PARAMETERS angstrom
4.614 0.000 0.000
0.000 4.614 0.000
0.000 0.000 6.388
ATOMIC_POSITIONS crystal
Ba 0.000 0.000 0.500
Cr 0.500 0.000 0.000
Cr 0.000 0.500 0.000
Cl 0.000 0.000 0.000
Se 0.500 0.500 0.500
```

Calculated values
The calculation puts the total magnetic moment at 1.957 μB per atom. The formation energy (no corrections) comes out at -1.67 eV/f.u. As for the density of states at the Fermi level: 0.3316 states/eV per atom. Its crystal system is tetragonal.


Cs2BaCl4: PBEsol geometry, SCAN. Values from VASP.

Quantum ESPRESSO input file:
```
&SYSTEM
  ibrav = 0, nat = 14, ntyp = 3
/
ATOMIC_SPECIES
Cl 35.45 Cl.upf
Cs 132.91 Cs.upf
Ba 137.33 Ba.upf
CELL_PARAMETERS angstrom
8.445 0.026 0.044
-2.940 7.916 -0.044
-2.940 -3.841 6.922
ATOMIC_POSITIONS crystal
Cl 0.754 0.102 0.716
Cl 0.254 0.466 0.352
Cl 0.886 0.788 0.534
Cl 0.114 0.648 0.902
Cl 0.246 0.962 0.348
Cl 0.746 0.098 0.212
Cl 0.386 0.284 0.038
Cl 0.614 0.652 0.898
Cs 0.640 0.375 0.515
Cs 0.860 0.485 0.125
Cs 0.360 0.875 0.735
Cs 0.140 0.265 0.625
Ba 0.500 0.750 0.250
Ba 0.000 0.000 0.000
```

Calculated values
The calculation puts the total magnetic moment at 0.000 μB per atom. The formation energy (no corrections) comes out at -17.16 eV/f.u. As for the density of states at the Fermi level: 0.0000 states/eV per atom. Its crystal system is tetragonal.


CsBa3Ga5Se10Cl2: PBEsol geometry, SCAN. Values from VASP.

Quantum ESPRESSO input file:
```
&SYSTEM
  ibrav = 0, nat = 21, ntyp = 5
/
ATOMIC_SPECIES
Se 78.96 Se.upf
Ga 69.72 Ga.upf
Cl 35.45 Cl.upf
Cs 132.91 Cs.upf
Ba 137.33 Ba.upf
CELL_PARAMETERS angstrom
8.620 0.021 -0.059
-0.027 8.735 0.017
-4.358 -4.353 7.829
ATOMIC_POSITIONS crystal
Se 0.437 0.339 0.504
Se 0.658 0.926 0.489
Se 0.076 0.176 0.528
Se 0.951 0.281 0.144
Se 0.808 0.546 0.464
Se 0.905 0.426 0.861
Se 0.158 0.071 0.872
Se 0.191 0.861 0.152
Se 0.585 0.042 0.140
Se 0.716 0.808 0.846
Ga 0.008 0.000 0.000
Ga 0.859 0.262 0.333
Ga 0.477 0.064 0.330
Ga 0.734 0.525 0.662
Ga 0.935 0.151 0.680
Cl 0.517 0.485 0.017
Cl 0.243 0.761 0.481
Cs 0.261 0.645 0.770
Ba 0.520 0.125 0.770
Ba 0.345 0.489 0.228
Ba 0.867 0.767 0.228
```

Calculated values
The calculation puts the total magnetic moment at 0.000 μB per atom. The formation energy (no corrections) comes out at -30.03 eV/f.u. As for the density of states at the Fermi level: 0.0000 states/eV per atom. Its crystal system is triclinic.


CsBa2NCl: PBEsol geometry, SCAN. Values from VASP.

Quantum ESPRESSO input file:
```
&SYSTEM
  ibrav = 0, nat = 5, ntyp = 4
/
ATOMIC_SPECIES
Cl 35.45 Cl.upf
Ba 137.33 Ba.upf
Cs 132.91 Cs.upf
N 14.01 N.upf
CELL_PARAMETERS angstrom
5.821 0.000 0.000
0.000 5.821 0.000
0.000 0.000 6.029
ATOMIC_POSITIONS crystal
Cl 0.000 0.000 0.000
Ba 0.500 0.000 0.000
Ba 0.000 0.500 0.000
Cs 0.000 0.000 0.500
N 0.500 0.500 0.500
```

Calculated values
The calculation puts the total magnetic moment at 0.097 μB per atom. The formation energy (no corrections) comes out at 0.78 eV/f.u. As for the density of states at the Fermi level: 0.4756 states/eV per atom. Its crystal system is tetragonal.


CsBaS2Cl: PBEsol geometry, SCAN. Values from VASP.

Quantum ESPRESSO input file:
```
&SYSTEM
  ibrav = 0, nat = 5, ntyp = 4
/
ATOMIC_SPECIES
Ba 137.33 Ba.upf
S 32.06 S.upf
Cs 132.91 Cs.upf
Cl 35.45 Cl.upf
CELL_PARAMETERS angstrom
-4.757 -0.767 2.501
0.967 -5.338 0.201
2.644 0.676 5.237
ATOMIC_POSITIONS crystal
Ba 0.500 0.500 0.500
S 0.000 0.500 0.000
S 0.500 0.000 0.000
Cs 0.000 0.000 0.000
Cl 0.000 0.000 0.500
```

Calculated values
The value obtained for the energy above the most stable polymorph in this dataset is 0.442 eV/atom. The calculation puts the total magnetic moment at 0.000 μB per atom. The formation energy (no corrections) comes out at -3.67 eV/f.u. As for the density of states at the Fermi level: 0.6176 states/eV per atom. Its crystal system is tetragonal.


CsBaS2Cl: PBEsol geometry, SCAN. Values from VASP.

Quantum ESPRESSO input file:
```
&SYSTEM
  ibrav = 0, nat = 5, ntyp = 4
/
ATOMIC_SPECIES
Cl 35.45 Cl.upf
Cs 132.91 Cs.upf
S 32.06 S.upf
Ba 137.33 Ba.upf
CELL_PARAMETERS angstrom
-5.687 -0.872 1.553
1.740 -1.957 5.273
-0.261 5.486 2.123
ATOMIC_POSITIONS crystal
Cl 0.500 0.000 0.000
Cs 0.500 0.500 0.500
S 0.000 0.000 0.500
S 0.000 0.500 0.000
Ba 0.000 0.000 0.000
```

Calculated values
The value obtained for the energy above the most stable polymorph in this dataset is 0.000 eV/atom. The calculation puts the total magnetic moment at 0.401 μB per atom. The formation energy (no corrections) comes out at -5.89 eV/f.u. As for the density of states at the Fermi level: 1.0074 states/eV per atom. Its crystal system is tetragonal.


CsBaSi2Cl: PBEsol geometry, SCAN. Values from VASP.

Quantum ESPRESSO input file:
```
&SYSTEM
  ibrav = 0, nat = 5, ntyp = 4
/
ATOMIC_SPECIES
Cl 35.45 Cl.upf
Cs 132.91 Cs.upf
Si 28.09 Si.upf
Ba 137.33 Ba.upf
CELL_PARAMETERS angstrom
-4.841 -1.488 0.884
1.469 -4.921 -0.239
1.032 0.031 5.703
ATOMIC_POSITIONS crystal
Cl 0.000 0.000 0.000
Cs 0.000 0.000 0.500
Si 0.500 0.000 0.000
Si 0.000 0.500 0.000
Ba 0.500 0.500 0.500
```

Calculated values
The calculation puts the total magnetic moment at 0.000 μB per atom. The formation energy (no corrections) comes out at 1.04 eV/f.u. As for the density of states at the Fermi level: 0.2190 states/eV per atom. Its crystal system is tetragonal.


Repeat the eighth record exactly.
CsBa2NCl: PBEsol geometry, SCAN. Values from VASP.

Quantum ESPRESSO input file:
```
&SYSTEM
  ibrav = 0, nat = 5, ntyp = 4
/
ATOMIC_SPECIES
Cl 35.45 Cl.upf
Ba 137.33 Ba.upf
Cs 132.91 Cs.upf
N 14.01 N.upf
CELL_PARAMETERS angstrom
5.821 0.000 0.000
0.000 5.821 0.000
0.000 0.000 6.029
ATOMIC_POSITIONS crystal
Cl 0.000 0.000 0.000
Ba 0.500 0.000 0.000
Ba 0.000 0.500 0.000
Cs 0.000 0.000 0.500
N 0.500 0.500 0.500
```

Calculated values
The calculation puts the total magnetic moment at 0.097 μB per atom. The formation energy (no corrections) comes out at 0.78 eV/f.u. As for the density of states at the Fermi level: 0.4756 states/eV per atom. Its crystal system is tetragonal.